No. 1
# ReRu2Cl2

Crystalline ReRu2Cl2 at its relaxed geometry (PBE, Alexandria).

Its uncorrected energy is -5.72 eV/atom. For the uncorrected formation energy, the calculation gives 117.7 kJ per mole of atoms. Its excess energy over the best structure of this formula in the dataset is 0 meV per atom.

It has space group P4/mbm (No. 127), with a = 7.282 Å, b = 7.282 Å, c = 2.814 Å, α = 90.00°, β = 90.00° and γ = 90.00°. The asymmetric unit holds Re at (0.000, 0.000, 0.000), Ru at (0.183, 0.317, 0.500) and Cl at (0.135, 0.635, 0.000).

=====

No. 2
# BaCaAsSe2

Crystalline BaCaAsSe2 at its relaxed geometry (PBE, Alexandria).

Its uncorrected energy is -3.93 eV/atom. For the uncorrected formation energy, the calculation gives -79.1 kJ per mole of atoms. Its excess energy over the best structure of this formula in the dataset is 0 meV per atom.

It has space group P4/mmm (No. 123), with a = 5.512 Å, b = 5.512 Å, c = 5.366 Å, α = 90.00°, β = 90.00° and γ = 90.00°. The asymmetric unit holds Ba at (0.000, 0.000, 0.000), Ca at (0.500, 0.500, 0.500), As at (0.500, 0.500, 0.000) and Se at (0.000, 0.500, 0.500).

=====

No. 3
# MoAsBr2

Crystalline MoAsBr2 at its relaxed geometry (PBE, Alexandria).

Its uncorrected energy is -3.83 eV/atom. For the uncorrected formation energy, the calculation gives 85.1 kJ per mole of atoms. Its excess energy over the best structure of this formula in the dataset is 1056 meV per atom.

It has space group Fm-3m (No. 225), with a = 6.755 Å, b = 6.755 Å, c = 6.755 Å, α = 90.00°, β = 90.00° and γ = 90.00°. The asymmetric unit holds Mo at (0.000, 0.000, 0.000), As at (0.000, 0.000, 0.500) and Br at (0.250, 0.250, 0.250).